{"formula": "CsCoClF2", "functional": "GGA+U", "state": "optimized geometry", "space_group": "No. 123", "vol_a3_per_cell": 96.7, "n_ef_per_ev_atom": 0.000, "energy_ev_per_atom": -4.176, "cell": [[4.455, 0.000, 0.000], [0.000, 4.455, 0.000], [0.000, 0.000, 4.875]], "species": ["Cs", "F", "F", "Co", "Cl"], "frac_coords": [[0.500, 0.500, 0.500], [0.000, 0.500, 0.000], [0.500, 0.000, 0.000], [0.000, 0.000, 0.000], [0.000, 0.000, 0.500]]}